No. 1
{
  "formula": "AcRuC2",
  "functional": "PBE",
  "state": "optimized geometry",
  "formation_enthalpy_0k_ev_per_fu": 2.64,
  "de_polymorph_mev_per_atom": 732,
  "energy_ev_per_atom": -7.298,
  "cell": [[1.770, 1.022, 5.394], [-1.770, 1.022, 5.394], [0.000, -2.044, 5.394]],
  "species": ["Ac", "Ru", "C", "C"],
  "frac_coords": [[0.000, 0.000, 0.000], [0.500, 0.500, 0.500], [0.217, 0.217, 0.217], [0.783, 0.783, 0.783]]
}

No. 2
{
  "formula": "Pm2ZnHg3",
  "functional": "PBE",
  "state": "optimized geometry",
  "formation_enthalpy_0k_ev_per_fu": -2.53,
  "de_polymorph_mev_per_atom": 0,
  "energy_ev_per_atom": -2.369,
  "cell": [[0.000, 4.877, 8.459], [3.571, 0.000, 8.459], [3.571, 4.877, 0.000]],
  "species": ["Pm", "Pm", "Pm", "Pm", "Zn", "Zn", "Hg", "Hg", "Hg", "Hg", "Hg", "Hg"],
  "frac_coords": [[0.246, 0.754, 0.754], [0.250, 0.250, 0.250], [0.750, 0.750, 0.750], [0.754, 0.246, 0.246], [0.333, 0.333, 0.667], [0.667, 0.667, 0.333], [0.172, 0.172, 0.828], [0.173, 0.654, 0.346], [0.346, 0.827, 0.173], [0.654, 0.173, 0.827], [0.827, 0.346, 0.654], [0.828, 0.828, 0.172]]
}

No. 3
{
  "formula": "K2AuBr5",
  "functional": "PBE",
  "state": "optimized geometry",
  "raw_formation_energy_ev_per_fu": -7.5,
  "energy_ev_per_atom": -2.671,
  "cell": [[-3.974, 3.974, 4.389], [3.974, -3.974, 4.389], [3.974, 3.974, -4.389]],
  "species": ["K", "K", "Au", "Br", "Br", "Br", "Br", "Br"],
  "frac_coords": [[0.000, 0.500, 0.500], [0.500, 0.000, 0.500], [0.262, 0.262, 0.000], [0.022, 0.022, 0.552], [0.022, 0.470, 0.000], [0.470, 0.022, 0.000], [0.470, 0.470, 0.448], [0.648, 0.648, 0.000]]
}